# 1
# PBE Pr2Y2Er5, optimized geometry
data_Pr2Y2Er5
_cell_length_a 21.609
_cell_length_b 3.489
_cell_length_c 8.245
_cell_angle_alpha 90.00
_cell_angle_beta 99.85
_cell_angle_gamma 90.00
_space_group_name_H-M_alt 'C 1 2/m 1'
_space_group_IT_number 12
loop_
_space_group_symop_operation_xyz
'x,y,z'
'-x,-y,-z'
'-x,y,-z'
'x,-y,z'
'x+1/2,y+1/2,z'
'-x+1/2,-y+1/2,-z'
'-x+1/2,y+1/2,-z'
'x+1/2,-y+1/2,z'
loop_
_atom_site_label
_atom_site_type_symbol
_atom_site_fract_x
_atom_site_fract_y
_atom_site_fract_z
Pr1 Pr 0.182 0.000 0.143
Y1 Y 0.047 0.500 0.356
Er1 Er 0.000 0.000 0.000
Er2 Er 0.097 0.000 0.733
Er3 Er 0.191 0.500 0.530
# * ρ: 7027 kg/m³
# * DFT formation energy: 227 meV per atom
# * M_tot: 0.00 μB/cell
# * excess energy over the best structure of this formula in the dataset: 21 meV per atom
# * DOS(E_F): 1.49 states/eV per atom

# 2
# PBE Pr12Y7Er, optimized geometry
data_Pr12Y7Er
_cell_length_a 12.4427
_cell_length_b 12.4427
_cell_length_c 15.7342
_cell_angle_alpha 90.00
_cell_angle_beta 90.00
_cell_angle_gamma 120.00
_space_group_name_H-M_alt 'R -3'
_space_group_IT_number 148
_space_group_name_Hall '-R 3'
loop_
_atom_site_label
_atom_site_type_symbol
_atom_site_fract_x
_atom_site_fract_y
_atom_site_fract_z
Pr1 Pr 0.0200 0.5747 0.2186
Pr2 Pr 0.0600 0.4678 0.5810
Y1 Y 0.0000 0.0000 0.0000
Y2 Y 0.0518 0.8659 0.3010
Er1 Er 0.0000 0.0000 0.5000
# * ρ: 5857 kg/m³
# * DFT formation energy: 210 meV per atom
# * M_tot: 0.00 μB/cell
# * excess energy over the best structure of this formula in the dataset: 0 meV per atom
# * DOS(E_F): 1.97 states/eV per atom

# 3
# PBE Pr6YEr2, optimized geometry
data_Pr6YEr2
_cell_length_a 12.299
_cell_length_b 5.786
_cell_length_c 10.605
_cell_angle_alpha 90.00
_cell_angle_beta 124.78
_cell_angle_gamma 90.00
_space_group_name_H-M_alt 'C 1 2/m 1'
_space_group_IT_number 12
loop_
_space_group_symop_operation_xyz
'x,y,z'
'-x,-y,-z'
'-x,y,-z'
'x,-y,z'
'x+1/2,y+1/2,z'
'-x+1/2,-y+1/2,-z'
'-x+1/2,y+1/2,-z'
'x+1/2,-y+1/2,z'
loop_
_atom_site_label
_atom_site_type_symbol
_atom_site_fract_x
_atom_site_fract_y
_atom_site_fract_z
Pr1 Pr 0.053 0.000 0.385
Pr2 Pr 0.168 0.500 0.662
Pr3 Pr 0.223 0.500 0.049
Y1 Y 0.000 0.000 0.000
Er1 Er 0.112 0.500 0.270
# * ρ: 6799 kg/m³
# * DFT formation energy: 56 meV per atom
# * M_tot: 0.00 μB/cell
# * excess energy over the best structure of this formula in the dataset: 0 meV per atom
# * DOS(E_F): 1.53 states/eV per atom

# 4
# PBE Pr3Y2Er4, optimized geometry
data_Pr3Y2Er4
_cell_length_a 10.879
_cell_length_b 5.156
_cell_length_c 11.170
_cell_angle_alpha 90.00
_cell_angle_beta 101.46
_cell_angle_gamma 90.00
_space_group_name_H-M_alt 'C 1 2/m 1'
_space_group_IT_number 12
loop_
_space_group_symop_operation_xyz
'x,y,z'
'-x,-y,-z'
'-x,y,-z'
'x,-y,z'
'x+1/2,y+1/2,z'
'-x+1/2,-y+1/2,-z'
'-x+1/2,y+1/2,-z'
'x+1/2,-y+1/2,z'
loop_
_atom_site_label
_atom_site_type_symbol
_atom_site_fract_x
_atom_site_fract_y
_atom_site_fract_z
Pr1 Pr 0.000 0.000 0.000
Pr2 Pr 0.054 0.500 0.750
Y1 Y 0.166 0.000 0.578
Er1 Er 0.146 0.000 0.279
Er2 Er 0.221 0.500 0.103
# * ρ: 6866 kg/m³
# * DFT formation energy: 203 meV per atom
# * M_tot: 0.00 μB/cell
# * excess energy over the best structure of this formula in the dataset: 102 meV per atom
# * DOS(E_F): 1.56 states/eV per atom

# 5
# PBE Pr6Y2Er5, optimized geometry
data_Pr6Y2Er5
_cell_length_a 11.774
_cell_length_b 20.653
_cell_length_c 3.637
_cell_angle_alpha 90.00
_cell_angle_beta 90.00
_cell_angle_gamma 90.00
_space_group_name_H-M_alt 'P b a m'
_space_group_IT_number 55
loop_
_space_group_symop_operation_xyz
'x,y,z'
'-x,-y,-z'
'-x,-y,z'
'x,y,-z'
'x+1/2,-y+1/2,-z'
'-x+1/2,y+1/2,z'
'-x+1/2,y+1/2,-z'
'x+1/2,-y+1/2,z'
loop_
_atom_site_label
_atom_site_type_symbol
_atom_site_fract_x
_atom_site_fract_y
_atom_site_fract_z
Pr1 Pr 0.059 0.080 0.000
Pr2 Pr 0.083 0.367 0.000
Pr3 Pr 0.174 0.633 0.500
Y1 Y 0.164 0.789 0.000
Er1 Er 0.000 0.500 0.500
Er2 Er 0.095 0.226 0.500
Er3 Er 0.199 0.944 0.500
# * ρ: 6982 kg/m³
# * DFT formation energy: 103 meV per atom
# * M_tot: 0.00 μB/cell
# * DOS(E_F): 1.22 states/eV per atom

# 6
# PBE Pr5Y6Er2, optimized geometry
data_Pr5Y6Er2
_cell_length_a 11.753
_cell_length_b 20.743
_cell_length_c 3.624
_cell_angle_alpha 90.00
_cell_angle_beta 90.00
_cell_angle_gamma 90.00
_space_group_name_H-M_alt 'P b a m'
_space_group_IT_number 55
loop_
_space_group_symop_operation_xyz
'x,y,z'
'-x,-y,-z'
'-x,-y,z'
'x,y,-z'
'x+1/2,-y+1/2,-z'
'-x+1/2,y+1/2,z'
'-x+1/2,y+1/2,-z'
'x+1/2,-y+1/2,z'
loop_
_atom_site_label
_atom_site_type_symbol
_atom_site_fract_x
_atom_site_fract_y
_atom_site_fract_z
Pr1 Pr 0.000 0.000 0.000
Pr2 Pr 0.084 0.272 0.000
Pr3 Pr 0.199 0.550 0.000
Y1 Y 0.061 0.418 0.500
Y2 Y 0.081 0.131 0.500
Y3 Y 0.175 0.861 0.000
Er1 Er 0.170 0.710 0.500
# * ρ: 5911 kg/m³
# * DFT formation energy: 93 meV per atom
# * M_tot: 0.00 μB/cell
# * DOS(E_F): 1.27 states/eV per atom

# 7
# PBE Pr3YEr, optimized geometry
data_Pr3YEr
_cell_length_a 13.279
_cell_length_b 13.397
_cell_length_c 7.763
_cell_angle_alpha 90.00
_cell_angle_beta 90.00
_cell_angle_gamma 90.00
_space_group_name_H-M_alt 'C m c e'
_space_group_IT_number 64
_space_group_name_Hall '-C 2ac 2'
loop_
_atom_site_label
_atom_site_type_symbol
_atom_site_fract_x
_atom_site_fract_y
_atom_site_fract_z
Pr1 Pr 0.000 0.101 0.108
Pr2 Pr 0.150 0.241 0.384
Y1 Y 0.250 0.011 0.750
Er1 Er 0.000 0.098 0.628
# * ρ: 6531 kg/m³
# * DFT formation energy: 120 meV per atom
# * M_tot: 0.00 μB/cell
# * excess energy over the best structure of this formula in the dataset: 18 meV per atom
# * DOS(E_F): 1.15 states/eV per atom

# 8
# PBE Pr5Y3Er4, optimized geometry
data_Pr5Y3Er4
_cell_length_a 9.803
_cell_length_b 5.858
_cell_length_c 15.074
_cell_angle_alpha 90.00
_cell_angle_beta 108.59
_cell_angle_gamma 90.00
_space_group_name_H-M_alt 'C 1 2/m 1'
_space_group_IT_number 12
loop_
_space_group_symop_operation_xyz
'x,y,z'
'-x,-y,-z'
'-x,y,-z'
'x,-y,z'
'x+1/2,y+1/2,z'
'-x+1/2,-y+1/2,-z'
'-x+1/2,y+1/2,-z'
'x+1/2,-y+1/2,z'
loop_
_atom_site_label
_atom_site_type_symbol
_atom_site_fract_x
_atom_site_fract_y
_atom_site_fract_z
Pr1 Pr 0.000 0.000 0.000
Pr2 Pr 0.050 0.500 0.247
Pr3 Pr 0.168 0.500 0.498
Y1 Y 0.000 0.500 0.000
Y2 Y 0.208 0.000 0.249
Er1 Er 0.060 0.000 0.623
Er2 Er 0.174 0.000 0.854
# * ρ: 6639 kg/m³
# * DFT formation energy: 229 meV per atom
# * M_tot: 0.00 μB/cell
# * DOS(E_F): 1.63 states/eV per atom

# 9
# PBE Pr2Y4Er5, optimized geometry
data_Pr2Y4Er5
_cell_length_a 3.494
_cell_length_b 11.550
_cell_length_c 18.359
_cell_angle_alpha 90.00
_cell_angle_beta 90.00
_cell_angle_gamma 90.00
_space_group_name_H-M_alt 'I m m m'
_space_group_IT_number 71
_space_group_name_Hall '-I 2 2'
loop_
_atom_site_label
_atom_site_type_symbol
_atom_site_fract_x
_atom_site_fract_y
_atom_site_fract_z
Pr1 Pr 0.000 0.000 0.203
Y1 Y 0.000 0.000 0.409
Y2 Y 0.000 0.271 0.000
Er1 Er 0.000 0.290 0.179
Er2 Er 0.000 0.500 0.500
# * ρ: 6607 kg/m³
# * DFT formation energy: 213 meV per atom
# * M_tot: 0.00 μB/cell
# * excess energy over the best structure of this formula in the dataset: 153 meV per atom
# * DOS(E_F): 1.31 states/eV per atom

# 10
# PBE Pr3YEr, optimized geometry
data_Pr3YEr
_cell_length_a 20.905
_cell_length_b 17.780
_cell_length_c 3.718
_cell_angle_alpha 90.00
_cell_angle_beta 90.22
_cell_angle_gamma 90.00
_space_group_name_H-M_alt 'C 1 2/c 1'
_space_group_IT_number 15
loop_
_space_group_symop_operation_xyz
'x,y,z'
'-x,-y,-z'
'-x,y,-z+1/2'
'x,-y,z+1/2'
'x+1/2,y+1/2,z'
'-x+1/2,-y+1/2,-z'
'-x+1/2,y+1/2,-z+1/2'
'x+1/2,-y+1/2,z+1/2'
loop_
_atom_site_label
_atom_site_type_symbol
_atom_site_fract_x
_atom_site_fract_y
_atom_site_fract_z
Pr1 Pr 0.078 0.086 0.237
Pr2 Pr 0.133 0.411 0.751
Pr3 Pr 0.165 0.248 0.248
Y1 Y 0.222 0.085 0.743
Er1 Er 0.000 0.248 0.750
Er2 Er 0.000 0.420 0.250
# * ρ: 6526 kg/m³
# * DFT formation energy: 102 meV per atom
# * M_tot: 0.00 μB/cell
# * excess energy over the best structure of this formula in the dataset: 0 meV per atom
# * DOS(E_F): 1.56 states/eV per atom

# 11
# PBE PrYEr, optimized geometry
data_PrYEr
_cell_length_a 5.6673
_cell_length_b 5.6673
_cell_length_c 3.5411
_cell_angle_alpha 90.00
_cell_angle_beta 90.00
_cell_angle_gamma 120.00
_space_group_name_H-M_alt 'P -6 m 2'
_space_group_IT_number 187
_space_group_name_Hall 'P -6 2'
loop_
_atom_site_label
_atom_site_type_symbol
_atom_site_fract_x
_atom_site_fract_y
_atom_site_fract_z
Pr1 Pr 0.0000 0.0000 0.0000
Y1 Y 0.6667 0.3333 0.5000
Er1 Er 0.3333 0.6667 0.0000
# * ρ: 6694 kg/m³
# * DFT formation energy: 66 meV per atom
# * M_tot: 0.00 μB/cell
# * excess energy over the best structure of this formula in the dataset: 46 meV per atom
# * DOS(E_F): 1.80 states/eV per atom

# 12
# PBE Pr4Y4Er, optimized geometry
data_Pr4Y4Er
_cell_length_a 10.893
_cell_length_b 10.893
_cell_length_c 5.135
_cell_angle_alpha 90.00
_cell_angle_beta 90.00
_cell_angle_gamma 90.00
_space_group_name_H-M_alt 'I 4/m m m'
_space_group_IT_number 139
_space_group_name_Hall '-I 4 2'
loop_
_atom_site_label
_atom_site_type_symbol
_atom_site_fract_x
_atom_site_fract_y
_atom_site_fract_z
Pr1 Pr 0.000 0.331 0.000
Y1 Y 0.165 0.165 0.500
Er1 Er 0.000 0.000 0.000
# * ρ: 5923 kg/m³
# * DFT formation energy: 26 meV per atom
# * M_tot: 0.02 μB/cell
# * excess energy over the best structure of this formula in the dataset: 9 meV per atom
# * DOS(E_F): 1.63 states/eV per atom

# 13
# PBE Pr4Y3Er4, optimized geometry
data_Pr4Y3Er4
_cell_length_a 3.608
_cell_length_b 5.077
_cell_length_c 39.640
_cell_angle_alpha 90.00
_cell_angle_beta 90.00
_cell_angle_gamma 90.00
_space_group_name_H-M_alt 'I m m m'
_space_group_IT_number 71
_space_group_name_Hall '-I 2 2'
loop_
_atom_site_label
_atom_site_type_symbol
_atom_site_fract_x
_atom_site_fract_y
_atom_site_fract_z
Pr1 Pr 0.000 0.000 0.046
Pr2 Pr 0.000 0.000 0.317
Y1 Y 0.000 0.000 0.136
Y2 Y 0.000 0.000 0.500
Er1 Er 0.000 0.000 0.228
Er2 Er 0.000 0.000 0.408
# * ρ: 6859 kg/m³
# * DFT formation energy: 22 meV per atom
# * M_tot: 0.00 μB/cell
# * excess energy over the best structure of this formula in the dataset: 0 meV per atom
# * DOS(E_F): 1.35 states/eV per atom

# 14
# PBE Pr5YEr, optimized geometry
data_Pr5YEr
_cell_length_a 13.639
_cell_length_b 8.919
_cell_length_c 5.977
_cell_angle_alpha 90.00
_cell_angle_beta 115.91
_cell_angle_gamma 90.00
_space_group_name_H-M_alt 'C 1 2/m 1'
_space_group_IT_number 12
loop_
_space_group_symop_operation_xyz
'x,y,z'
'-x,-y,-z'
'-x,y,-z'
'x,-y,z'
'x+1/2,y+1/2,z'
'-x+1/2,-y+1/2,-z'
'-x+1/2,y+1/2,-z'
'x+1/2,-y+1/2,z'
loop_
_atom_site_label
_atom_site_type_symbol
_atom_site_fract_x
_atom_site_fract_y
_atom_site_fract_z
Pr1 Pr 0.000 0.000 0.000
Pr2 Pr 0.000 0.323 0.500
Pr3 Pr 0.248 0.000 0.748
Y1 Y 0.000 0.500 0.000
Er1 Er 0.000 0.000 0.500
# * ρ: 4879 kg/m³
# * DFT formation energy: 965 meV per atom
# * M_tot: 0.00 μB/cell
# * excess energy over the best structure of this formula in the dataset: 818 meV per atom
# * DOS(E_F): 1.89 states/eV per atom

# 15
# PBE Pr3Y2Er2, optimized geometry
data_Pr3Y2Er2
_cell_length_a 17.711
_cell_length_b 3.535
_cell_length_c 8.609
_cell_angle_alpha 90.00
_cell_angle_beta 118.55
_cell_angle_gamma 90.00
_space_group_name_H-M_alt 'C 1 2/m 1'
_space_group_IT_number 12
loop_
_space_group_symop_operation_xyz
'x,y,z'
'-x,-y,-z'
'-x,y,-z'
'x,-y,z'
'x+1/2,y+1/2,z'
'-x+1/2,-y+1/2,-z'
'-x+1/2,y+1/2,-z'
'x+1/2,-y+1/2,z'
loop_
_atom_site_label
_atom_site_type_symbol
_atom_site_fract_x
_atom_site_fract_y
_atom_site_fract_z
Pr1 Pr 0.000 0.000 0.000
Pr2 Pr 0.214 0.000 0.296
Y1 Y 0.065 0.500 0.410
Er1 Er 0.143 0.000 0.823
# * ρ: 6559 kg/m³
# * DFT formation energy: 114 meV per atom
# * M_tot: 0.00 μB/cell
# * excess energy over the best structure of this formula in the dataset: 70 meV per atom
# * DOS(E_F): 1.62 states/eV per atom

# 16
# PBE Pr2Y2Er, optimized geometry
data_Pr2Y2Er
_cell_length_a 3.685
_cell_length_b 5.784
_cell_length_c 31.854
_cell_angle_alpha 90.00
_cell_angle_beta 90.00
_cell_angle_gamma 90.00
_space_group_name_H-M_alt 'I m m a'
_space_group_IT_number 74
_space_group_name_Hall '-I 2b 2'
loop_
_atom_site_label
_atom_site_type_symbol
_atom_site_fract_x
_atom_site_fract_y
_atom_site_fract_z
Pr1 Pr 0.000 0.250 0.022
Pr2 Pr 0.000 0.250 0.121
Y1 Y 0.000 0.250 0.291
Y2 Y 0.000 0.250 0.804
Er1 Er 0.000 0.250 0.581
# * ρ: 6133 kg/m³
# * DFT formation energy: 137 meV per atom
# * M_tot: 0.00 μB/cell
# * excess energy over the best structure of this formula in the dataset: 119 meV per atom
# * DOS(E_F): 1.46 states/eV per atom

# 17
# PBE Pr6YEr5, optimized geometry
data_Pr6YEr5
_cell_length_a 5.165
_cell_length_b 10.061
_cell_length_c 15.437
_cell_angle_alpha 90.00
_cell_angle_beta 90.00
_cell_angle_gamma 90.00
_space_group_name_H-M_alt 'I m m m'
_space_group_IT_number 71
_space_group_name_Hall '-I 2 2'
loop_
_atom_site_label
_atom_site_type_symbol
_atom_site_fract_x
_atom_site_fract_y
_atom_site_fract_z
Pr1 Pr 0.000 0.248 0.000
Pr2 Pr 0.000 0.251 0.333
Y1 Y 0.000 0.000 0.500
Er1 Er 0.000 0.000 0.167
Er2 Er 0.000 0.500 0.167
Er3 Er 0.000 0.500 0.500
# * ρ: 7330 kg/m³
# * DFT formation energy: 18 meV per atom
# * M_tot: 0.00 μB/cell
# * excess energy over the best structure of this formula in the dataset: 5 meV per atom
# * DOS(E_F): 1.35 states/eV per atom

# 18
# PBE PrY2Er8, optimized geometry
data_PrY2Er8
_cell_length_a 9.255
_cell_length_b 17.072
_cell_length_c 5.905
_cell_angle_alpha 90.00
_cell_angle_beta 129.63
_cell_angle_gamma 90.00
_space_group_name_H-M_alt 'C 1 2/m 1'
_space_group_IT_number 12
loop_
_space_group_symop_operation_xyz
'x,y,z'
'-x,-y,-z'
'-x,y,-z'
'x,-y,z'
'x+1/2,y+1/2,z'
'-x+1/2,-y+1/2,-z'
'-x+1/2,y+1/2,-z'
'x+1/2,-y+1/2,z'
loop_
_atom_site_label
_atom_site_type_symbol
_atom_site_fract_x
_atom_site_fract_y
_atom_site_fract_z
Pr1 Pr 0.000 0.000 0.000
Y1 Y 0.000 0.311 0.500
Er1 Er 0.000 0.201 0.000
Er2 Er 0.001 0.500 0.743
Er3 Er 0.230 0.131 0.729
# * ρ: 7657 kg/m³
# * DFT formation energy: 152 meV per atom
# * M_tot: 0.01 μB/cell
# * excess energy over the best structure of this formula in the dataset: 32 meV per atom
# * DOS(E_F): 1.42 states/eV per atom

# 19
# PBE PrY4Er8, optimized geometry
data_PrY4Er8
_cell_length_a 7.3044
_cell_length_b 7.3044
_cell_length_c 26.8447
_cell_angle_alpha 90.00
_cell_angle_beta 90.00
_cell_angle_gamma 120.00
_space_group_name_H-M_alt 'R -3 m'
_space_group_IT_number 166
_space_group_name_Hall '-R 3 2"'
loop_
_atom_site_label
_atom_site_type_symbol
_atom_site_fract_x
_atom_site_fract_y
_atom_site_fract_z
Pr1 Pr 0.0000 0.0000 0.0000
Y1 Y 0.0000 0.0000 0.5000
Y2 Y 0.0000 0.5000 0.5000
Er1 Er 0.0000 0.0000 0.2813
Er2 Er 0.0399 0.5200 0.2693
# * ρ: 7368 kg/m³
# * DFT formation energy: 201 meV per atom
# * M_tot: 0.00 μB/cell
# * DOS(E_F): 1.29 states/eV per atom

# 20
# PBE Pr6Y2Er, optimized geometry
data_Pr6Y2Er
_cell_length_a 9.503
_cell_length_b 17.871
_cell_length_c 3.703
_cell_angle_alpha 90.00
_cell_angle_beta 90.00
_cell_angle_gamma 90.00
_space_group_name_H-M_alt 'C m m m'
_space_group_IT_number 65
_space_group_name_Hall '-C 2 2'
loop_
_atom_site_label
_atom_site_type_symbol
_atom_site_fract_x
_atom_site_fract_y
_atom_site_fract_z
Pr1 Pr 0.174 0.165 0.000
Pr2 Pr 0.186 0.000 0.500
Y1 Y 0.000 0.326 0.500
Er1 Er 0.000 0.500 0.000
# * ρ: 6287 kg/m³
# * DFT formation energy: 122 meV per atom
# * M_tot: 0.00 μB/cell
# * excess energy over the best structure of this formula in the dataset: 0 meV per atom
# * DOS(E_F): 1.36 states/eV per atom